No. 1
Computed, not measured: crystalline CdPb at its relaxed geometry at the GGA-PBEsol level of DFT.

Cell: 3.321 5.524 5.678 Å, 90.00 90.00 90.00°
Positions (direct):
Cd  0.000  0.000  0.578
Cd  0.500  0.500  0.422
Pb  0.500  0.000  0.092
Pb  0.000  0.500  0.908

Results
Total DFT energy (no corrections): -2.507 eV per atom
DFT formation energy: 0.090 eV per atom
Total magnetic moment: 0.0 μB per formula unit



No. 2
Computed, not measured: crystalline CdPb at its relaxed geometry at the GGA-PBEsol level of DFT.

Cell: 3.382 3.382 5.587 Å, 72.39 72.39 60.00°
Positions (direct):
Pb  0.500  0.500  0.500
Cd  0.000  0.000  0.000

Results
Total DFT energy (no corrections): -2.518 eV per atom
DFT formation energy: 0.080 eV per atom
Total magnetic moment: 0.0 μB per formula unit



No. 3
Computed, not measured: crystalline CdPb at its relaxed geometry at the GGA-PBEsol level of DFT.

Cell: 3.390 3.390 5.246 Å, 90.00 90.00 120.00°
Positions (direct):
Cd  0.000  0.000  0.000
Pb  0.333  0.667  0.500

Results
Total DFT energy (no corrections): -2.509 eV per atom
DFT formation energy: 0.089 eV per atom
Total magnetic moment: 0.0 μB per formula unit



Question: Number 3 is which compound?
Answer: CdPb